The following is a DFT calculation (PBE) of a geometry-optimized CuPbBr structure.

Unit cell a=3.9106 b=6.1640 c=12.8881 alpha=90.00 beta=90.00 gamma=90.00
Space group Fmm2 (No. 42)
Inequivalent atoms, fractional coordinates:
Cu 0.0000 0.0000 0.0000 (multiplicity 4)
Pb 0.0000 0.0000 0.3495 (multiplicity 4)
Br 0.0000 0.0000 0.6144 (multiplicity 4)

Results
**Fermi-level density of states**: 0.8 states/eV/f.u.
**Energy relative to the elements, uncorrected**: -0.0488 eV/atom
**Total energy**: -3.208 eV per atom
**Offset from the most stable computed form**: 39 meV/atom
**Size of the total moment**: 0.0 μB per formula unit

---

The following is a DFT calculation (PBE) of a geometry-optimized LiErScCu structure.

Unit cell a=6.8511 b=6.8511 c=6.8511 alpha=90.00 beta=90.00 gamma=90.00
Space group F-43m (No. 216)
Inequivalent atoms, fractional coordinates:
Li 0.0000 0.0000 0.0000 (multiplicity 4)
Er 0.2500 0.2500 0.2500 (multiplicity 4)
Sc 0.2500 0.2500 0.7500 (multiplicity 4)
Cu 0.0000 0.0000 0.5000 (multiplicity 4)

Results
**Fermi-level density of states**: 3.6 states/eV/f.u.
**Formation energy from the elements**: -0.040 eV per atom
**Total energy**: -4.266 eV per atom
**Size of the total moment**: 0.0 μB per formula unit

---

The following is a DFT calculation (PBE) of a geometry-optimized TaBeSe2 structure.

Unit cell a=3.2292 b=3.2292 c=6.1975 alpha=90.00 beta=90.00 gamma=90.00
Space group P4/mmm (No. 123)
Inequivalent atoms, fractional coordinates:
Ta 0.0000 0.0000 0.0000 (multiplicity 1)
Be 0.0000 0.0000 0.5000 (multiplicity 1)
Se 0.5000 0.5000 0.2482 (multiplicity 2)

Results
**Fermi-level density of states**: 2.2 states/eV/f.u.
**Energy relative to the elements, uncorrected**: 0.0034 eV/atom
**Total energy**: -5.634 eV per atom
**Size of the total moment**: 0.0 μB per formula unit

---

The following is a DFT calculation (PBE) of a geometry-optimized TmCd2Pd4 structure.

Unit cell a=4.1702 b=4.1702 c=15.5681 alpha=90.00 beta=90.00 gamma=90.00
Space group I4/mmm (No. 139)
Inequivalent atoms, fractional coordinates:
Tm 0.0000 0.0000 0.0000 (multiplicity 2)
Cd 0.0000 0.0000 0.2524 (multiplicity 4)
Pd 0.0000 0.5000 0.1230 (multiplicity 8)

Results
**Fermi-level density of states**: 1.9 states/eV/f.u.
**Formation energy from the elements**: -0.453 eV per atom
**Total energy**: -4.320 eV per atom
**Offset from the most stable computed form**: 115 meV/atom
**Size of the total moment**: 0.0 μB per formula unit

---

The following is a DFT calculation (PBE) of a geometry-optimized La2BeIrO6 structure.

Unit cell a=5.4962 b=7.2007 c=5.9789 alpha=90.00 beta=90.00 gamma=90.00
Space group Pmmn (No. 59, origin choice 2)
Inequivalent atoms, fractional coordinates:
La 0.2500 0.0065 0.2053 (multiplicity 4)
Be 0.2500 0.7500 0.6591 (multiplicity 2)
Ir 0.2500 0.2500 0.7233 (multiplicity 2)
O 0.0067 0.2500 0.4685 (multiplicity 4)
O 0.0095 0.2500 0.9732 (multiplicity 4)
O 0.2500 0.5267 0.7658 (multiplicity 4)

Results
**Fermi-level density of states**: 4.1 states/eV/f.u.
**Energy relative to the elements, uncorrected**: -2.3596 eV/atom
**Total energy**: -7.579 eV per atom
**Size of the total moment**: 0.6 μB per formula unit

---

The following is a DFT calculation (PBE) of a geometry-optimized CaTb6Sm3Ho2 structure.

Unit cell a=6.2276 b=10.7884 c=11.8843 alpha=90.00 beta=100.03 gamma=90.00
Space group C2/m (No. 12)
Inequivalent atoms, fractional coordinates:
Ca 0.0000 0.0000 0.0000 (multiplicity 2)
Tb 0.2448 0.5000 0.2506 (multiplicity 4)
Tb 0.2459 0.3301 0.7496 (multiplicity 8)
Sm 0.0000 0.1657 0.5000 (multiplicity 4)
Sm 0.0000 0.5000 0.5000 (multiplicity 2)
Ho 0.0000 0.3334 0.0000 (multiplicity 4)

Results
**Fermi-level density of states**: 18.3 states/eV/f.u.
**Formation energy from the elements**: 0.050 eV per atom
**Total energy**: -4.375 eV per atom
**Size of the total moment**: 0.0 μB per formula unit

---

The following is a DFT calculation (PBE) of a geometry-optimized SrScHg2 structure.

Unit cell a=3.6532 b=5.3206 c=11.1326 alpha=90.00 beta=90.00 gamma=90.00
Space group Imm2 (No. 44)
Inequivalent atoms, fractional coordinates:
Sr 0.0000 0.0000 0.0000 (multiplicity 2)
Sc 0.0000 0.5000 0.2133 (multiplicity 2)
Hg 0.0000 0.0000 0.4983 (multiplicity 2)
Hg 0.0000 0.5000 0.7654 (multiplicity 2)

Results
**Fermi-level density of states**: 2.7 states/eV/f.u.
**Formation energy from the elements**: -0.235 eV per atom
**Total energy**: -2.389 eV per atom
**Size of the total moment**: 0.0 μB per formula unit

---

The following is a DFT calculation (PBE) of a geometry-optimized CaZrZnRh structure.

Unit cell a=6.7958 b=6.7958 c=6.7958 alpha=90.00 beta=90.00 gamma=90.00
Space group F-43m (No. 216)
Inequivalent atoms, fractional coordinates:
Ca 0.0000 0.0000 0.0000 (multiplicity 4)
Zr 0.0000 0.0000 0.5000 (multiplicity 4)
Zn 0.2500 0.2500 0.2500 (multiplicity 4)
Rh 0.2500 0.2500 0.7500 (multiplicity 4)

Results
**Fermi-level density of states**: 2.0 states/eV/f.u.
**Formation energy from the elements**: -0.326 eV per atom
**Total energy**: -5.120 eV per atom
**Size of the total moment**: 0.0 μB per formula unit

---

> The highest size of the total moment belongs to which entry?

La2BeIrO6